The following is a DFT calculation (PBE-GGA) of an optimized crystal structure of KHgRh2.

Cell: 2.8372 4.4286 6.9311 Å, 90.00 90.00 90.00°
Space group Pmmm (No. 47)
Symmetry-distinct sites (fractional):
K: 0.0000 0.0000 0.0000 x1
Hg: 0.0000 0.0000 0.5000 x1
Rh: 0.5000 0.5000 0.3200 x2

Output
- E_form: 0.50 eV/atom
- Calculated density: 8.49 g cm⁻³
- E_tot: -14.1 eV/cell
- Total magnetic moment: 0.12 μB per atom
- N(E_F): 5.4 states/eV per cell